1.
VASP calculation (PBE) on a relaxed TlTc2Os crystal.

Computed properties:
- energy relative to the lowest polymorph listed for this composition (meV per atom) = 258
- SG = No. 139
- density of states at the Fermi level (states/eV per atom) = 1.1879
- DFT formation energy (eV per atom) = 0.720

Unit cell a=5.069 b=5.069 c=5.069 alpha=134.84 beta=134.86 gamma=65.76
Element x y z (fractional)
Tc1 0.000 0.000 0.000
Os1 0.250 0.750 0.500
Tl1 0.750 0.250 0.500
Tc2 0.500 0.500 0.000

=====

2.
VASP calculation (PBE) on a relaxed TlTc2Os crystal.

Computed properties:
- energy relative to the lowest polymorph listed for this composition (meV per atom) = 257
- SG = No. 119
- density of states at the Fermi level (states/eV per atom) = 1.5486
- DFT formation energy (eV per atom) = 0.719

Unit cell a=5.030 b=5.030 c=5.030 alpha=134.14 beta=134.14 gamma=66.86
Element x y z (fractional)
Tc1 0.000 0.000 0.000
Os1 0.750 0.250 0.500
Tl1 0.500 0.500 0.000
Tc2 0.250 0.750 0.500

=====

3.
VASP calculation (PBE) on a relaxed TlTcOs2 crystal.

Computed properties:
- energy relative to the lowest polymorph listed for this composition (meV per atom) = 27
- SG = No. 160
- density of states at the Fermi level (states/eV per atom) = 0.6423
- DFT formation energy (eV per atom) = 0.608

Unit cell a=9.409 b=9.409 c=9.409 alpha=17.45 beta=17.45 gamma=17.45
Element x y z (fractional)
Tl1 0.750 0.750 0.750
Os1 0.993 0.993 0.993
Os2 0.250 0.250 0.250
Tc1 0.507 0.507 0.507

=====

4.
VASP calculation (PBE) on a relaxed TlTcOs2 crystal.

Computed properties:
- energy relative to the lowest polymorph listed for this composition (meV per atom) = 119
- SG = No. 12
- density of states at the Fermi level (states/eV per atom) = 1.1584
- DFT formation energy (eV per atom) = 0.700

Unit cell a=4.901 b=4.901 c=4.956 alpha=80.51 beta=80.51 gamma=34.02
Each line ends with the local moment (μB).
Element x y z (fractional)
Os1 0.984 0.984 0.037  0.01
Tc1 0.250 0.250 0.250  0.38
Os2 0.516 0.516 0.463  0.01
Tl1 0.750 0.750 0.750  0.00